# 1
The following is a PBE calculation of crystalline Ce2TlSb at its relaxed geometry, from the Alexandria database.

Output
Distance to the lowest polymorph of the same formula (eV per atom): 0.080
VASP energy (eV/atom): -5.070
ΔE_f (raw) (eV per formula unit): -1.92

abc: 7.7260 7.7260 7.7260
angles: 90.00 90.00 90.00
Last column: nearest neighbours and their distance in Å.
Space group Fm-3m (No. 225)
Asymmetric unit:
Ce (0.2500, 0.2500, 0.2500) x8  4 Sb 3.35, 4 Tl 3.35
Tl (0.0000, 0.0000, 0.0000) x4  8 Ce 3.35
Sb (0.0000, 0.0000, 0.5000) x4  8 Ce 3.35

# 2
The following is a PBE calculation of crystalline Ce6TlSb2 at its relaxed geometry, from the Alexandria database.

Output
VASP energy (eV/atom): -5.124
ΔE_f (raw) (eV per formula unit): 0.10

abc: 7.4646 7.4646 13.2214
angles: 90.00 90.00 90.00
Last column: nearest neighbours and their distance in Å.
Space group P4_2/mnm (No. 136)
Asymmetric unit:
Ce (0.2081, 0.2081, 0.1697) x8  2 Sb 3.08-3.10, 1 Tl 3.14
Ce (0.2089, 0.2089, 0.5000) x4  1 Tl 3.07, 2 Sb 3.10
Tl (0.0000, 0.0000, 0.0000) x2  6 Ce 3.07-3.14
Sb (0.0000, 0.0000, 0.3357) x4  6 Ce 3.08-3.10

# 3
The following is a PBE calculation of crystalline Ce2TlSb at its relaxed geometry, from the Alexandria database.

Output
Distance to the lowest polymorph of the same formula (eV per atom): 0.060
VASP energy (eV/atom): -5.090
ΔE_f (raw) (eV per formula unit): -2.00

abc: 7.4949 4.3319 8.4708
angles: 90.00 107.20 90.00
Last column: nearest neighbours and their distance in Å.
Space group C2/m (No. 12)
Asymmetric unit:
Ce (0.2450, 0.0000, 0.2349) x4  3 Sb 3.14, 3 Tl 3.29
Tl (0.0000, 0.0000, 0.5000) x2  6 Ce 3.29
Sb (0.0000, 0.5000, 0.0000) x2  6 Ce 3.14

# 4
The following is a PBE calculation of crystalline Ce3TlSb2 at its relaxed geometry, from the Alexandria database.

Output
VASP energy (eV/atom): -5.405
ΔE_f (raw) (eV per formula unit): -4.02

abc: 7.9892 13.4754 7.6600
angles: 90.00 109.24 90.00
Last column: nearest neighbours and their distance in Å.
Space group C2/c (No. 15)
Asymmetric unit:
Ce (0.2383, 0.0869, 0.4984) x8  4 Sb 3.12-3.19, 2 Tl 3.22-3.26
Ce (0.2500, 0.2500, 0.0000) x4  4 Sb 3.18-3.19, 2 Tl 3.24
Tl (0.0000, 0.4217, 0.7500) x4  6 Ce 3.22-3.26
Sb (0.0000, 0.0842, 0.7500) x4  6 Ce 3.12-3.19
Sb (0.0000, 0.2535, 0.2500) x4  6 Ce 3.15-3.19

# 5
The following is a PBE calculation of crystalline CeTlSb2 at its relaxed geometry, from the Alexandria database.

Output
Distance to the lowest polymorph of the same formula (eV per atom): 0.181
VASP energy (eV/atom): -4.482
ΔE_f (raw) (eV per formula unit): -1.38

abc: 4.7853 4.7853 20.1963
angles: 90.00 90.00 120.00
Last column: nearest neighbours and their distance in Å.
Space group R3m (No. 160, hexagonal axes)
Asymmetric unit:
Ce (0.0000, 0.0000, 0.0000) x3  6 Sb 3.11-3.18, 1 Tl 3.44
Tl (0.0000, 0.0000, 0.1703) x3  6 Sb 3.26-3.42, 1 Ce 3.44
Sb (0.0000, 0.0000, 0.4040) x3  3 Ce 3.11, 3 Tl 3.42
Sb (0.0000, 0.0000, 0.5891) x3  3 Ce 3.18, 3 Tl 3.26

# 6
The following is a PBE calculation of crystalline Ce4TlSb at its relaxed geometry, from the Alexandria database.

Output
Distance to the lowest polymorph of the same formula (eV per atom): 0.059
VASP energy (eV/atom): -5.280
ΔE_f (raw) (eV per formula unit): -1.46

abc: 3.2387 5.1226 9.2826
angles: 90.00 90.00 90.00
Last column: nearest neighbours and their distance in Å.
Space group Pmmm (No. 47)
Asymmetric unit:
Ce (0.0000, 0.0000, 0.1702) x2  5 Ce 2.92-3.24
Ce (0.0000, 0.5000, 0.3212) x2  4 Ce 2.92-3.24
Tl (0.5000, 0.0000, 0.5000) x1  2 Tl 3.24, 12 Ce 3.45-3.46
Sb (0.5000, 0.5000, 0.0000) x1  2 Sb 3.24, 12 Ce 3.39-3.42